# 1
First-principles (PBEsol) data for a relaxed RbGeSbO5 crystal, as listed in the Alexandria database.

Cell: 13.4328 6.7245 10.8392 Å, 90.00 90.00 90.00°
Space group Pna2_1 (No. 33)
Asymmetric unit:
1 Rb 0.1102 0.1967 0.0000 (multiplicity 4)
2 Rb 0.1147 0.7759 0.7538 (multiplicity 4)
3 Ge 0.0006 0.3196 0.6863 (multiplicity 4)
4 Ge 0.1806 0.0092 0.4376 (multiplicity 4)
5 Sb 0.1185 0.5056 0.4384 (multiplicity 4)
6 Sb 0.2464 0.7558 0.1851 (multiplicity 4)
7 O 0.0065 0.5382 0.3223 (multiplicity 4)
8 O 0.0130 0.4950 0.5678 (multiplicity 4)
9 O 0.1029 0.2125 0.4052 (multiplicity 4)
10 O 0.1027 0.8382 0.1678 (multiplicity 4)
11 O 0.1081 0.8012 0.4766 (multiplicity 4)
12 O 0.1089 0.1740 0.7014 (multiplicity 4)
13 O 0.2223 0.5445 0.3114 (multiplicity 4)
14 O 0.2233 0.4706 0.5647 (multiplicity 4)
15 O 0.2313 0.5503 0.0566 (multiplicity 4)
16 O 0.2355 0.4574 0.8162 (multiplicity 4)

Output
energy relative to the elements, uncorrected: -1.70 eV/atom
magnetization: 0.000 μB/atom

=====

# 2
First-principles (PBEsol) data for a relaxed Ba3YIr2O9 crystal, as listed in the Alexandria database.

Cell: 5.8604 5.8604 14.5244 Å, 90.00 90.00 120.00°
Space group P6_3/mmc (No. 194)
Asymmetric unit:
1 Ba 0.0000 0.0000 0.2500 (multiplicity 2)
2 Ba 0.3333 0.6667 0.0922 (multiplicity 4)
3 Y 0.0000 0.0000 0.0000 (multiplicity 2)
4 Ir 0.3333 0.6667 0.6642 (multiplicity 4)
5 O 0.0157 0.5079 0.7500 (multiplicity 6)
6 O 0.1761 0.3521 0.5866 (multiplicity 12)

Output
energy relative to the elements, uncorrected: -2.16 eV/atom
magnetization: 0.000 μB/atom

=====

# 3
First-principles (PBEsol) data for a relaxed In2FeRh crystal, as listed in the Alexandria database.

Cell: 2.9847 2.9847 7.7454 Å, 90.00 90.00 90.00°
Space group P4mm (No. 99)
Asymmetric unit:
1 In 0.0000 0.0000 0.0000 (multiplicity 1)
2 In 0.5000 0.5000 0.3494 (multiplicity 1)
3 Fe 0.5000 0.5000 0.7680 (multiplicity 1)
4 Rh 0.0000 0.0000 0.5850 (multiplicity 1)

Output
energy relative to the elements: 20 kJ/mol of formula units
magnetization: 0.767 μB/atom

=====

# 4
First-principles (PBEsol) data for a relaxed CdCu4 crystal, as listed in the Alexandria database.

Cell: 5.8725 5.8725 3.7371 Å, 90.00 90.00 90.00°
Space group I4/m (No. 87)
Asymmetric unit:
1 Cd 0.0000 0.0000 0.0000 (multiplicity 2)
2 Cu 0.0919 0.6918 0.5000 (multiplicity 8)

Output
energy relative to the elements: 29 kJ/mol of formula units
magnetization: 0.000 μB/atom

=====

# 5
First-principles (PBEsol) data for a relaxed Al2CoBr crystal, as listed in the Alexandria database.

Cell: 6.3843 6.3843 6.3843 Å, 90.00 90.00 90.00°
Space group F-43m (No. 216)
Asymmetric unit:
1 Al 0.0000 0.0000 0.0000 (multiplicity 4)
2 Al 0.2500 0.2500 0.2500 (multiplicity 4)
3 Co 0.2500 0.2500 0.7500 (multiplicity 4)
4 Br 0.0000 0.0000 0.5000 (multiplicity 4)

Output
energy relative to the elements, uncorrected: 0.60 eV/atom
magnetization: 0.051 μB/atom

=====

# 6
First-principles (PBEsol) data for a relaxed CaBiI2O crystal, as listed in the Alexandria database.

Cell: 6.2664 6.2664 4.3167 Å, 90.00 90.00 90.00°
Space group P4/mmm (No. 123)
Asymmetric unit:
1 Ca 0.0000 0.0000 0.0000 (multiplicity 1)
2 Bi 0.5000 0.5000 0.5000 (multiplicity 1)
3 I 0.0000 0.5000 0.5000 (multiplicity 2)
4 O 0.5000 0.5000 0.0000 (multiplicity 1)

Output
energy relative to the elements, uncorrected: -0.60 eV/atom
magnetization: 0.000 μB/atom

=====

# 7
First-principles (PBEsol) data for a relaxed TcP2Ru crystal, as listed in the Alexandria database.

Cell: 3.4300 3.4300 8.8353 Å, 90.00 90.00 90.00°
Space group I-4m2 (No. 119)
Asymmetric unit:
1 Tc 0.0000 0.0000 0.0000 (multiplicity 2)
2 P 0.0000 0.0000 0.5000 (multiplicity 2)
3 P 0.0000 0.5000 0.2500 (multiplicity 2)
4 Ru 0.0000 0.5000 0.7500 (multiplicity 2)

Output
energy relative to the elements: -4 kJ/mol of formula units
magnetization: 0.101 μB/atom

=====

# 8
First-principles (PBEsol) data for a relaxed TaMn2Cl crystal, as listed in the Alexandria database.

Cell: 6.1222 6.1222 6.1222 Å, 90.00 90.00 90.00°
Space group F-43m (No. 216)
Asymmetric unit:
1 Ta 0.0000 0.0000 0.0000 (multiplicity 4)
2 Mn 0.0000 0.0000 0.5000 (multiplicity 4)
3 Mn 0.2500 0.2500 0.7500 (multiplicity 4)
4 Cl 0.2500 0.2500 0.2500 (multiplicity 4)

Output
energy relative to the elements, uncorrected: 0.71 eV/atom
magnetization: 1.365 μB/atom